1.
Below is TlReAs2Au after structural relaxation, with properties calculated at the PBEsol level.

The structure in POSCAR format:
```
TlReAs2Au
1.0
4.9013 0.0000 0.0000
0.0000 4.9013 0.0000
0.0000 0.0000 5.2027
Tl Re As Au
1 1 2 1
direct
0.0000 0.0000 0.0000
0.5000 0.5000 0.0000
0.0000 0.5000 0.5000
0.5000 0.0000 0.5000
0.5000 0.5000 0.5000
```

DFT formation energy = 1.49 eV/atom
Fermi-level density of states = 3.482 states/eV/cell


2.
Below is NaSrMg2Sc after structural relaxation, with properties calculated at the PBEsol level.

The structure in POSCAR format:
```
NaSrMg2Sc
1.0
5.7938 0.0000 0.0000
0.0000 5.7938 0.0000
0.0000 0.0000 5.5307
Na Sr Mg Sc
1 1 2 1
direct
0.0000 0.0000 0.0000
0.0000 0.0000 0.5000
0.0000 0.5000 0.5000
0.5000 0.0000 0.5000
0.5000 0.5000 0.0000
```

DFT formation energy = 1.12 eV/atom
Fermi-level density of states = 6.617 states/eV/cell


3.
Below is Ba2MnSbTe after structural relaxation, with properties calculated at the PBEsol level.

The structure in POSCAR format:
```
Ba2MnSbTe
1.0
6.0507 0.0000 0.0000
0.0000 6.0507 0.0000
0.0000 0.0000 4.7579
Ba Mn Sb Te
2 1 1 1
direct
0.0000 0.5000 0.0000
0.5000 0.0000 0.0000
0.0000 0.0000 0.0000
0.0000 0.0000 0.5000
0.5000 0.5000 0.5000
```

Fermi-level density of states = 4.099 states/eV/cell
ΔE_f (raw) = -420 meV/atom


4.
Below is MnCuS2 after structural relaxation, with properties calculated at the PBEsol level.

The structure in POSCAR format:
```
MnCuS2
1.0
1.6213 0.9361 6.8645
-1.6213 0.9361 6.8645
0.0000 -1.8722 6.8645
Mn Cu S
1 1 2
direct
0.0000 0.0000 0.0000
0.5000 0.5000 0.5000
0.3962 0.3962 0.3962
0.6038 0.6038 0.6038
```

Fermi-level density of states = 1.067 states/eV/cell
ΔE_f (raw) = -379 meV/atom


5.
Below is Ta2Ru after structural relaxation, with properties calculated at the PBEsol level.

The structure in POSCAR format:
```
Ta2Ru
1.0
5.0554 -1.5901 0.0000
5.0554 1.5901 0.0000
-2.2424 0.0000 6.0466
Ta Ru
4 2
direct
0.0029 0.0029 0.2594
0.3288 0.3288 0.9064
0.6712 0.6712 0.0936
0.9971 0.9971 0.7406
0.3395 0.3395 0.4076
0.6605 0.6605 0.5924
```

DFT formation energy = -0.21 eV/atom
Fermi-level density of states = 4.318 states/eV/cell


6.
Below is LaPtW after structural relaxation, with properties calculated at the PBEsol level.

The structure in POSCAR format:
```
LaPtW
1.0
0.0000 3.2017 3.2017
3.2017 0.0000 3.2017
3.2017 3.2017 0.0000
La Pt W
1 1 1
direct
0.0000 0.0000 0.0000
0.5000 0.5000 0.5000
0.2500 0.2500 0.2500
```

DFT formation energy = 0.57 eV/atom
Fermi-level density of states = 3.858 states/eV/cell


7.
Below is Y2CrRe2 after structural relaxation, with properties calculated at the PBEsol level.

The structure in POSCAR format:
```
Y2CrRe2
1.0
-1.7669 1.7669 8.7045
1.7669 -1.7669 8.7045
1.7669 1.7669 -8.7045
Y Cr Re
2 1 2
direct
0.1045 0.1045 0.0000
0.8955 0.8955 0.0000
0.5000 0.5000 0.0000
0.2500 0.7500 0.5000
0.7500 0.2500 0.5000
```

DFT formation energy = 0.64 eV/atom
Fermi-level density of states = 4.963 states/eV/cell


8.
Below is BeW2Se after structural relaxation, with properties calculated at the PBEsol level.

The structure in POSCAR format:
```
BeW2Se
1.0
4.3471 -1.5086 0.0000
4.3471 1.5086 0.0000
-1.1913 0.0000 4.2313
Be W Se
1 2 1
direct
0.0000 0.0000 0.0000
0.5104 0.5104 0.4831
0.7357 0.7357 0.1387
0.2609 0.2609 0.6858
```

ΔE to the lowest computed polymorph = 0 meV per atom
Fermi-level density of states = 2.641 states/eV/cell
ΔE_f (raw) = 361 meV/atom


no.,total magnetization (μB/atom),V (Å³/f.u.)
1,0.62,125.0
2,0.17,185.7
3,0.50,174.2
4,0.51,62.5
5,0.00,48.6
6,0.00,65.6
7,0.59,108.7
8,0.00,55.5